# HoHfAs2Rh5

A relaxed HoHfAs2Rh5 crystal (PBE, the Alexandria database).

Cell and atoms, written as POSCAR:
```
HoHfAs2Rh5
1.0
4.022 0.000 0.000
0.000 4.022 0.000
0.000 0.000 10.971
Ho Hf As Rh
1 1 2 5
direct
0.000 0.000 0.500
0.000 0.000 0.000
0.500 0.500 0.283
0.500 0.500 0.717
0.000 0.500 0.165
0.500 0.000 0.165
0.000 0.500 0.835
0.500 0.000 0.835
0.500 0.500 0.500
```

## Properties
The calculation puts the formation energy at -0.57 eV per atom.


# Ho2HfScAs4

A relaxed Ho2HfScAs4 crystal (PBE, the Alexandria database).

Cell and atoms, written as POSCAR:
```
Ho2HfScAs4
1.0
-2.813 2.356 1.503
-4.082 -5.444 0.893
3.808 0.941 5.652
Ho Hf Sc As
2 1 1 4
direct
0.500 0.000 0.500
0.000 0.500 0.500
0.500 0.500 0.000
0.000 0.000 0.000
0.500 0.247 0.235
0.500 0.753 0.765
0.000 0.256 0.765
0.000 0.744 0.235
```

## Properties
The calculation puts the formation energy at -1.37 eV per atom.